<i>
# GaNi2B (PBE, optimized geometry)
data_GaNi2B
_chemical_formula_sum 'Ga3 Ni6 B3'
_space_group_name_H-M_alt 'R -3 m'
_space_group_IT_number 166
_space_group_name_Hall '-R 3 2"'
_cell_length_a 2.9551
_cell_length_b 2.9551
_cell_length_c 17.7676
_cell_angle_alpha 90.00
_cell_angle_beta 90.00
_cell_angle_gamma 120.00
loop_
_atom_site_label
_atom_site_type_symbol
_atom_site_fract_x
_atom_site_fract_y
_atom_site_fract_z
_atom_site_occupancy
Ga1 Ga 0.0000 0.0000 0.0000 1
Ni1 Ni 0.0000 0.0000 0.2235 1
B1 B 0.0000 0.0000 0.5000 1
# Mass density ... 7.3 g cm⁻³
# V ... 134.37 Å³/cell

=====

<ii>
# GaNi2B (PBE, optimized geometry)
data_GaNi2B
_chemical_formula_sum 'Ga4 Ni8 B4'
_space_group_name_H-M_alt 'F m -3 m'
_space_group_IT_number 225
_space_group_name_Hall '-F 4 2 3'
_cell_length_a 5.474
_cell_length_b 5.474
_cell_length_c 5.474
_cell_angle_alpha 90.00
_cell_angle_beta 90.00
_cell_angle_gamma 90.00
loop_
_atom_site_label
_atom_site_type_symbol
_atom_site_fract_x
_atom_site_fract_y
_atom_site_fract_z
_atom_site_occupancy
Ga1 Ga 0.000 0.000 0.000 1
Ni1 Ni 0.250 0.250 0.250 1
B1 B 0.000 0.000 0.500 1
# Mass density ... 8.0 g cm⁻³
# V ... 164.05 Å³/cell

=====

According to the calculations, the structures order from most to least stable as <i>, <ii>.

=====

<i>
# GaNi2B (PBE, optimized geometry)
data_GaNi2B
_chemical_formula_sum 'Ga1 Ni2 B1'
_space_group_name_H-M_alt 'P 4/m m m'
_space_group_IT_number 123
_space_group_name_Hall '-P 4 2'
_cell_length_a 2.574
_cell_length_b 2.574
_cell_length_c 6.152
_cell_angle_alpha 90.00
_cell_angle_beta 90.00
_cell_angle_gamma 90.00
loop_
_atom_site_label
_atom_site_type_symbol
_atom_site_fract_x
_atom_site_fract_y
_atom_site_fract_z
_atom_site_occupancy
Ga1 Ga 0.000 0.000 0.000 1
Ni1 Ni 0.500 0.500 0.306 1
B1 B 0.000 0.000 0.500 1
# Mass density ... 8.1 g cm⁻³
# V ... 40.76 Å³/cell

=====

<ii>
# GaNi2B (PBE, optimized geometry)
data_GaNi2B
_chemical_formula_sum 'Ga1 Ni2 B1'
_space_group_name_H-M_alt 'P 4/m m m'
_space_group_IT_number 123
_space_group_name_Hall '-P 4 2'
_cell_length_a 3.596
_cell_length_b 3.596
_cell_length_c 3.178
_cell_angle_alpha 90.00
_cell_angle_beta 90.00
_cell_angle_gamma 90.00
loop_
_atom_site_label
_atom_site_type_symbol
_atom_site_fract_x
_atom_site_fract_y
_atom_site_fract_z
_atom_site_occupancy
Ga1 Ga 0.000 0.000 0.000 1
Ni1 Ni 0.000 0.500 0.500 1
B1 B 0.500 0.500 0.000 1
# Mass density ... 8.0 g cm⁻³
# V ... 41.10 Å³/cell

=====

<iii>
# GaNi2B (PBE, optimized geometry)
data_GaNi2B
_chemical_formula_sum 'Ga4 Ni8 B4'
_space_group_name_H-M_alt 'I -4 2 d'
_space_group_IT_number 122
_space_group_name_Hall 'I -4 2bw'
_cell_length_a 5.118
_cell_length_b 5.118
_cell_length_c 8.746
_cell_angle_alpha 90.00
_cell_angle_beta 90.00
_cell_angle_gamma 90.00
loop_
_atom_site_label
_atom_site_type_symbol
_atom_site_fract_x
_atom_site_fract_y
_atom_site_fract_z
_atom_site_occupancy
Ga1 Ga 0.000 0.000 0.000 1
Ni1 Ni 0.163 0.250 0.625 1
B1 B 0.000 0.000 0.500 1
# Mass density ... 5.7 g cm⁻³
# V ... 229.09 Å³/cell

=====

According to the calculations, the structures order from most to least stable as <i>, <ii>, <iii>.

=====

<i>
# GaNiB3 (PBE, optimized geometry)
data_GaNiB3
_chemical_formula_sum 'Ga1 Ni1 B3'
_space_group_name_H-M_alt 'P m -3 m'
_space_group_IT_number 221
_space_group_name_Hall '-P 4 2 3'
_cell_length_a 4.038
_cell_length_b 4.038
_cell_length_c 4.038
_cell_angle_alpha 90.00
_cell_angle_beta 90.00
_cell_angle_gamma 90.00
loop_
_atom_site_label
_atom_site_type_symbol
_atom_site_fract_x
_atom_site_fract_y
_atom_site_fract_z
_atom_site_occupancy
Ga1 Ga 0.000 0.000 0.000 1
Ni1 Ni 0.500 0.500 0.500 1
B1 B 0.000 0.000 0.500 1
# Mass density ... 4.1 g cm⁻³
# V ... 65.85 Å³/cell

=====

<ii>
# GaNiB3 (PBE, optimized geometry)
data_GaNiB3
_chemical_formula_sum 'Ga1 Ni1 B3'
_space_group_name_H-M_alt 'P m -3 m'
_space_group_IT_number 221
_space_group_name_Hall '-P 4 2 3'
_cell_length_a 3.861
_cell_length_b 3.861
_cell_length_c 3.861
_cell_angle_alpha 90.00
_cell_angle_beta 90.00
_cell_angle_gamma 90.00
loop_
_atom_site_label
_atom_site_type_symbol
_atom_site_fract_x
_atom_site_fract_y
_atom_site_fract_z
_atom_site_occupancy
Ga1 Ga 0.000 0.000 0.000 1
Ni1 Ni 0.500 0.500 0.500 1
B1 B 0.000 0.500 0.500 1
# Mass density ... 4.6 g cm⁻³
# V ... 57.57 Å³/cell

=====

According to the calculations, the structures order from most to least stable as <ii>, <i>.